Compound: TbVAs2O8
Source: Alexandria via LeMat-Bulk
Functional: PBE with a Hubbard U
Structure: relaxed

```
12
Lattice="-2.2306 3.8999 -3.7530 -3.5920 -4.3201 1.6445 1.3324 2.9729 4.8637" Properties=species:S:1:pos:R:3 pbc="T T T"
O -0.6976 2.1103 0.1946
O -0.0703 3.0824 3.0521
O -1.0364 4.7023 0.6135
O -2.5255 1.4601 3.2111
O -2.5163 3.5106 -1.5748
O -4.1776 0.9330 -1.2573
O -3.3685 3.0025 0.8797
O -2.2069 -0.3699 0.5045
As -1.9047 3.3314 0.0283
As -2.9113 -0.2101 -1.0543
Tb -2.5854 -0.7786 2.7270
V 0.0000 0.0000 0.0000
```

DOS at the Fermi energy ... 0.0 states/eV/cell
Raw total energy ... -0.51087 Ry per atom
Crystal system ... tetragonal